The following is a PBE calculation of a relaxed HAu3Se crystal, from Alexandria via LeMat-Bulk.

a = 5.0758 Å, b = 5.0758 Å, c = 5.0758 Å
α = 90.00°, β = 90.00°, γ = 90.00°
Element x y z (fractional)
H 0.0000 0.0000 0.0000
Au 0.0000 0.5000 0.5000
Au 0.5000 0.0000 0.5000
Au 0.5000 0.5000 0.0000
Se 0.5000 0.5000 0.5000

Offset from the most stable computed form ... 483.2 meV/atom
Total moment ... 0.194 μB/atom

The following is a PBE calculation of a relaxed Sr2ZnRe crystal, from Alexandria via LeMat-Bulk.

a = 4.6552 Å, b = 4.6552 Å, c = 9.1866 Å
α = 90.00°, β = 90.00°, γ = 90.00°
Element x y z (fractional)
Sr 0.0000 0.0000 0.0000
Sr 0.0000 0.5000 0.2500
Sr 0.5000 0.0000 0.7500
Sr 0.5000 0.5000 0.5000
Zn 0.0000 0.5000 0.7500
Zn 0.5000 0.0000 0.2500
Re 0.0000 0.0000 0.5000
Re 0.5000 0.5000 0.0000

Total moment ... 0.227 μB/atom
Energy of formation ... 332 kJ/mol of formula units